# LaNi2Pt2

An optimized crystal structure of LaNi2Pt2 (PBE, the Open Quantum Materials Database).

The structure in CIF format:
```
data_LaNi2Pt2
_chemical_formula_sum 'La1 Ni2 Pt2'
_cell_length_a 6.078
_cell_length_b 6.078
_cell_length_c 6.078
_cell_angle_alpha 141.26
_cell_angle_beta 141.26
_cell_angle_gamma 55.95
_symmetry_space_group_name_H-M 'P 1'
_symmetry_Int_Tables_number 1
loop_
_symmetry_equiv_pos_as_xyz
'x,y,z'
loop_
_atom_site_label
_atom_site_type_symbol
_atom_site_fract_x
_atom_site_fract_y
_atom_site_fract_z
_atom_site_occupancy
La1 La 0.000 0.000 0.000 1
Ni1 Ni 0.395 0.395 0.000 1
Ni2 Ni 0.605 0.605 0.000 1
Pt1 Pt 0.250 0.750 0.500 1
Pt2 Pt 0.750 0.250 0.500 1
```

Values from the calculation:
E: -6.099 eV per atom
symmetry: I4/mmm, No. 139

=====

# NdThW

An optimized crystal structure of NdThW (PBE, the Open Quantum Materials Database).

The structure in CIF format:
```
data_NdThW
_chemical_formula_sum 'Nd1 Th1 W1'
_cell_length_a 4.984
_cell_length_b 4.984
_cell_length_c 4.984
_cell_angle_alpha 60.00
_cell_angle_beta 60.00
_cell_angle_gamma 60.00
_symmetry_space_group_name_H-M 'P 1'
_symmetry_Int_Tables_number 1
loop_
_symmetry_equiv_pos_as_xyz
'x,y,z'
loop_
_atom_site_label
_atom_site_type_symbol
_atom_site_fract_x
_atom_site_fract_y
_atom_site_fract_z
_atom_site_occupancy
Nd1 Nd 0.000 0.000 0.000 1
Th1 Th 0.500 0.500 0.500 1
W1 W 0.250 0.250 0.250 1
```

Values from the calculation:
E: -7.784 eV per atom
symmetry: F-43m, No. 216
excess energy over the best structure of this formula in the dataset: 0.0 kJ per mole of atoms

=====

# YHfNiBi

An optimized crystal structure of YHfNiBi (PBE, the Open Quantum Materials Database).

The structure in CIF format:
```
data_YHfNiBi
_chemical_formula_sum 'Y1 Hf1 Ni1 Bi1'
_cell_length_a 5.060
_cell_length_b 5.060
_cell_length_c 5.060
_cell_angle_alpha 60.00
_cell_angle_beta 60.00
_cell_angle_gamma 60.00
_symmetry_space_group_name_H-M 'P 1'
_symmetry_Int_Tables_number 1
loop_
_symmetry_equiv_pos_as_xyz
'x,y,z'
loop_
_atom_site_label
_atom_site_type_symbol
_atom_site_fract_x
_atom_site_fract_y
_atom_site_fract_z
_atom_site_occupancy
Y1 Y 0.000 0.000 0.000 1
Hf1 Hf 0.250 0.250 0.250 1
Ni1 Ni 0.750 0.750 0.750 1
Bi1 Bi 0.500 0.500 0.500 1
```

Values from the calculation:
E: -6.197 eV per atom
symmetry: F-43m, No. 216